[1]
Entry from Alexandria via LeMat-Bulk: CaMnNi after structural relaxation (PBE).

Values from the calculation:
For the formation energy, the calculation gives 0.3538 eV/atom. For the calculated total energy, the calculation gives -5.297 eV/atom. The total magnetization comes out at 4.4 μB per formula unit.

Lattice parameters (Å, degrees): 4.4674 4.4674 4.4674 60.00 60.00 60.00
Element x y z (fractional)
Ca 0.0000 0.0000 0.0000
Mn 0.5000 0.5000 0.5000
Ni 0.7500 0.7500 0.7500

=====

[2]
Entry from Alexandria via LeMat-Bulk: BaPd2Au5 after structural relaxation (PBE).

Values from the calculation:
For the formation energy, the calculation gives -0.2339 eV/atom. For the calculated total energy, the calculation gives -3.821 eV/atom. The total magnetization comes out at 0.0 μB per formula unit.

Lattice parameters (Å, degrees): 6.7574 6.7574 6.7574 143.15 107.29 84.41
Element x y z (fractional)
Ba 0.0000 0.0000 0.0000
Pd 0.2306 0.7306 0.5000
Pd 0.7694 0.2694 0.5000
Au 0.1700 0.3487 0.8213
Au 0.4726 0.6513 0.8213
Au 0.5000 0.0000 0.5000
Au 0.5274 0.3487 0.1787
Au 0.8300 0.6513 0.1787

=====

[3]
Entry from Alexandria via LeMat-Bulk: Rb2LiS2 after structural relaxation (PBE).

Values from the calculation:
The relative energy among the computed polymorphs comes out at 0.748 eV/atom. For the calculated total energy, the calculation gives -2.368 eV/atom. The value obtained for the uncorrected formation energy is 53 meV/atom. The total magnetization comes out at 1.8 μB per formula unit.

Lattice parameters (Å, degrees): 4.4092 4.4092 15.1372 90.00 90.00 90.00
Element x y z (fractional)
Rb 0.0000 0.0000 0.1553
Rb 0.0000 0.0000 0.8447
Li 0.0000 0.0000 0.5000
S 0.0000 0.0000 0.3486
S 0.0000 0.0000 0.6514